# PBE Ba2WBr, relaxed
# ΔE to the lowest computed polymorph ... 293 meV/atom
# M_tot ... 14.14 μB per cell
# Volume ... 35.16 A^3/atom
# Density of states at the Fermi level ... 20.1 states/eV per cell
# Formation energy (no corrections) ... 2.2 eV/f.u.
data_Ba2WBr
_chemical_formula_sum 'Ba8 W4 Br4'
_space_group_name_H-M_alt 'F m -3 m'
_space_group_IT_number 225
_space_group_name_Hall '-F 4 2 3'
_cell_length_a 8.255
_cell_length_b 8.255
_cell_length_c 8.255
_cell_angle_alpha 90.00
_cell_angle_beta 90.00
_cell_angle_gamma 90.00
loop_
_atom_site_label
_atom_site_type_symbol
_atom_site_fract_x
_atom_site_fract_y
_atom_site_fract_z
_atom_site_occupancy
Ba1 Ba 0.250 0.250 0.250 1
W1 W 0.000 0.000 0.000 1
Br1 Br 0.000 0.000 0.500 1



# PBE BaW2Br, relaxed
# ΔE to the lowest computed polymorph ... 1316 meV/atom
# M_tot ... 0.00 μB per cell
# Volume ... 21.81 A^3/atom
# Density of states at the Fermi level ... 9.1 states/eV per cell
# Formation energy (no corrections) ... 6.5 eV/f.u.
data_BaW2Br
_chemical_formula_sum 'Ba2 W4 Br2'
_space_group_name_H-M_alt 'C m m m'
_space_group_IT_number 65
_space_group_name_Hall '-C 2 2'
_cell_length_a 3.153
_cell_length_b 5.207
_cell_length_c 10.630
_cell_angle_alpha 90.00
_cell_angle_beta 90.00
_cell_angle_gamma 90.00
loop_
_atom_site_label
_atom_site_type_symbol
_atom_site_fract_x
_atom_site_fract_y
_atom_site_fract_z
_atom_site_occupancy
Ba1 Ba 0.000 0.000 0.000 1
W1 W 0.000 0.500 0.285 1
Br1 Br 0.000 0.000 0.500 1



# PBE BaW2Br, relaxed
# ΔE to the lowest computed polymorph ... 486 meV/atom
# M_tot ... 0.00 μB per cell
# Volume ... 29.19 A^3/atom
# Density of states at the Fermi level ... 3.2 states/eV per cell
# Formation energy (no corrections) ... 3.2 eV/f.u.
data_BaW2Br
_chemical_formula_sum 'Ba1 W2 Br1'
_space_group_name_H-M_alt 'P 1 2/m 1'
_space_group_IT_number 10
_cell_length_a 3.415
_cell_length_b 6.534
_cell_length_c 5.234
_cell_angle_alpha 90.00
_cell_angle_beta 90.96
_cell_angle_gamma 90.00
loop_
_space_group_symop_operation_xyz
'x,y,z'
'-x,-y,-z'
'-x,y,-z'
'x,-y,z'
loop_
_atom_site_label
_atom_site_type_symbol
_atom_site_fract_x
_atom_site_fract_y
_atom_site_fract_z
_atom_site_occupancy
Ba1 Ba 0.000 0.000 0.000 1
W1 W 0.260 0.500 0.162 1
Br1 Br 0.500 0.000 0.500 1



# PBE BaW2Br, relaxed
# ΔE to the lowest computed polymorph ... 880 meV/atom
# M_tot ... 1.82 μB per cell
# Volume ... 27.60 A^3/atom
# Density of states at the Fermi level ... 3.6 states/eV per cell
# Formation energy (no corrections) ... 4.8 eV/f.u.
data_BaW2Br
_chemical_formula_sum 'Ba1 W2 Br1'
_space_group_name_H-M_alt 'P 4/m m m'
_space_group_IT_number 123
_space_group_name_Hall '-P 4 2'
_cell_length_a 4.031
_cell_length_b 4.031
_cell_length_c 6.792
_cell_angle_alpha 90.00
_cell_angle_beta 90.00
_cell_angle_gamma 90.00
loop_
_atom_site_label
_atom_site_type_symbol
_atom_site_fract_x
_atom_site_fract_y
_atom_site_fract_z
_atom_site_occupancy
Ba1 Ba 0.000 0.000 0.000 1
W1 W 0.000 0.500 0.500 1
Br1 Br 0.500 0.500 0.000 1



# PBE BaW2Br, relaxed
# ΔE to the lowest computed polymorph ... 1195 meV/atom
# M_tot ... 0.00 μB per cell
# Volume ... 21.48 A^3/atom
# Density of states at the Fermi level ... 9.5 states/eV per cell
# Formation energy (no corrections) ... 6.0 eV/f.u.
data_BaW2Br
_chemical_formula_sum 'Ba3 W6 Br3'
_space_group_name_H-M_alt 'R -3 m'
_space_group_IT_number 166
_space_group_name_Hall '-R 3 2"'
_cell_length_a 3.0592
_cell_length_b 3.0592
_cell_length_c 31.8070
_cell_angle_alpha 90.00
_cell_angle_beta 90.00
_cell_angle_gamma 120.00
loop_
_atom_site_label
_atom_site_type_symbol
_atom_site_fract_x
_atom_site_fract_y
_atom_site_fract_z
_atom_site_occupancy
Ba1 Ba 0.0000 0.0000 0.0000 1
W1 W 0.0000 0.0000 0.2346 1
Br1 Br 0.0000 0.0000 0.5000 1



# PBE BaW2Br, relaxed
# ΔE to the lowest computed polymorph ... 889 meV/atom
# M_tot ... 3.45 μB per cell
# Volume ... 27.58 A^3/atom
# Density of states at the Fermi level ... 8.9 states/eV per cell
# Formation energy (no corrections) ... 4.8 eV/f.u.
data_BaW2Br
_chemical_formula_sum 'Ba2 W4 Br2'
_space_group_name_H-M_alt 'I 4/m m m'
_space_group_IT_number 139
_space_group_name_Hall '-I 4 2'
_cell_length_a 4.033
_cell_length_b 4.033
_cell_length_c 13.567
_cell_angle_alpha 90.00
_cell_angle_beta 90.00
_cell_angle_gamma 90.00
loop_
_atom_site_label
_atom_site_type_symbol
_atom_site_fract_x
_atom_site_fract_y
_atom_site_fract_z
_atom_site_occupancy
Ba1 Ba 0.000 0.000 0.000 1
W1 W 0.000 0.500 0.250 1
Br1 Br 0.000 0.000 0.500 1



# PBE BaWBr, relaxed
# ΔE to the lowest computed polymorph ... 0 meV/atom
# M_tot ... 0.00 μB per cell
# Volume ... 25.89 A^3/atom
# Density of states at the Fermi level ... 3.1 states/eV per cell
# Formation energy (no corrections) ... 2.6 eV/f.u.
data_BaWBr
_chemical_formula_sum 'Ba1 W1 Br1'
_space_group_name_H-M_alt 'P 3 m 1'
_space_group_IT_number 156
_cell_length_a 3.3642
_cell_length_b 3.3642
_cell_length_c 7.9259
_cell_angle_alpha 90.00
_cell_angle_beta 90.00
_cell_angle_gamma 120.00
loop_
_space_group_symop_operation_xyz
'x,y,z'
'-y,x-y,z'
'-x+y,-x,z'
'-y,-x,z'
'-x+y,y,z'
'x,x-y,z'
loop_
_atom_site_label
_atom_site_type_symbol
_atom_site_fract_x
_atom_site_fract_y
_atom_site_fract_z
_atom_site_occupancy
Ba1 Ba 0.0000 0.0000 0.0000 1
W1 W 0.3333 0.6667 0.6380 1
Br1 Br 0.6667 0.3333 0.4187 1



# PBE Ba2WBr, relaxed
# ΔE to the lowest computed polymorph ... 91 meV/atom
# M_tot ... 2.85 μB per cell
# Volume ... 32.87 A^3/atom
# Density of states at the Fermi level ... 3.8 states/eV per cell
# Formation energy (no corrections) ... 1.4 eV/f.u.
data_Ba2WBr
_chemical_formula_sum 'Ba2 W1 Br1'
_space_group_name_H-M_alt 'P 1 m 1'
_space_group_IT_number 6
_cell_length_a 3.723
_cell_length_b 5.943
_cell_length_c 5.941
_cell_angle_alpha 90.00
_cell_angle_beta 90.09
_cell_angle_gamma 90.00
loop_
_space_group_symop_operation_xyz
'x,y,z'
'x,-y,z'
loop_
_atom_site_label
_atom_site_type_symbol
_atom_site_fract_x
_atom_site_fract_y
_atom_site_fract_z
_atom_site_occupancy
Ba1 Ba 0.000 0.000 0.000 1
Ba2 Ba 0.002 0.500 0.500 1
W1 W 0.500 0.500 0.000 1
Br1 Br 0.502 0.000 0.500 1



# PBE BaW2Br, relaxed
# ΔE to the lowest computed polymorph ... 1036 meV/atom
# M_tot ... 0.00 μB per cell
# Volume ... 30.08 A^3/atom
# Density of states at the Fermi level ... 3.7 states/eV per cell
# Formation energy (no corrections) ... 5.4 eV/f.u.
data_BaW2Br
_chemical_formula_sum 'Ba1 W2 Br1'
_space_group_name_H-M_alt 'P m m m'
_space_group_IT_number 47
_cell_length_a 3.264
_cell_length_b 6.009
_cell_length_c 6.135
_cell_angle_alpha 90.00
_cell_angle_beta 90.00
_cell_angle_gamma 90.00
loop_
_space_group_symop_operation_xyz
'x,y,z'
'-x,-y,-z'
'-x,-y,z'
'x,y,-z'
'x,-y,-z'
'-x,y,z'
'-x,y,-z'
'x,-y,z'
loop_
_atom_site_label
_atom_site_type_symbol
_atom_site_fract_x
_atom_site_fract_y
_atom_site_fract_z
_atom_site_occupancy
Ba1 Ba 0.000 0.000 0.000 1
W1 W 0.500 0.500 0.180 1
Br1 Br 0.000 0.000 0.500 1



# PBE BaWBr, relaxed
# ΔE to the lowest computed polymorph ... 71 meV/atom
# M_tot ... 4.87 μB per cell
# Volume ... 31.53 A^3/atom
# Density of states at the Fermi level ... 1.8 states/eV per cell
# Formation energy (no corrections) ... 2.8 eV/f.u.
data_BaWBr
_chemical_formula_sum 'Ba1 W1 Br1'
_space_group_name_H-M_alt 'P -6 m 2'
_space_group_IT_number 187
_space_group_name_Hall 'P -6 2'
_cell_length_a 5.3385
_cell_length_b 5.3385
_cell_length_c 3.8324
_cell_angle_alpha 90.00
_cell_angle_beta 90.00
_cell_angle_gamma 120.00
loop_
_atom_site_label
_atom_site_type_symbol
_atom_site_fract_x
_atom_site_fract_y
_atom_site_fract_z
_atom_site_occupancy
Ba1 Ba 0.0000 0.0000 0.0000 1
W1 W 0.3333 0.6667 0.5000 1
Br1 Br 0.6667 0.3333 0.5000 1



# PBE BaW2Br2, relaxed
# ΔE to the lowest computed polymorph ... 0 meV/atom
# M_tot ... 0.00 μB per cell
# Volume ... 28.56 A^3/atom
# Density of states at the Fermi level ... 4.2 states/eV per cell
# Formation energy (no corrections) ... 2.7 eV/f.u.
data_BaW2Br2
_chemical_formula_sum 'Ba2 W4 Br4'
_space_group_name_H-M_alt 'I 4/m m m'
_space_group_IT_number 139
_space_group_name_Hall '-I 4 2'
_cell_length_a 5.121
_cell_length_b 5.121
_cell_length_c 10.892
_cell_angle_alpha 90.00
_cell_angle_beta 90.00
_cell_angle_gamma 90.00
loop_
_atom_site_label
_atom_site_type_symbol
_atom_site_fract_x
_atom_site_fract_y
_atom_site_fract_z
_atom_site_occupancy
Ba1 Ba 0.000 0.000 0.000 1
W1 W 0.000 0.000 0.402 1
Br1 Br 0.000 0.500 0.250 1



# PBE BaW2Br2, relaxed
# ΔE to the lowest computed polymorph ... 427 meV/atom
# M_tot ... 0.00 μB per cell
# Volume ... 25.67 A^3/atom
# Density of states at the Fermi level ... 8.8 states/eV per cell
# Formation energy (no corrections) ... 4.8 eV/f.u.
data_BaW2Br2
_chemical_formula_sum 'Ba2 W4 Br4'
_space_group_name_H-M_alt 'P 4/m b m'
_space_group_IT_number 127
_space_group_name_Hall '-P 4 2ab'
_cell_length_a 8.980
_cell_length_b 8.980
_cell_length_c 3.182
_cell_angle_alpha 90.00
_cell_angle_beta 90.00
_cell_angle_gamma 90.00
loop_
_atom_site_label
_atom_site_type_symbol
_atom_site_fract_x
_atom_site_fract_y
_atom_site_fract_z
_atom_site_occupancy
Ba1 Ba 0.000 0.000 0.000 1
W1 W 0.094 0.406 0.000 1
Br1 Br 0.237 0.737 0.500 1



# PBE BaW2Br, relaxed
# ΔE to the lowest computed polymorph ... 774 meV/atom
# M_tot ... 0.01 μB per cell
# Volume ... 24.59 A^3/atom
# Density of states at the Fermi level ... 8.7 states/eV per cell
# Formation energy (no corrections) ... 4.3 eV/f.u.
data_BaW2Br
_chemical_formula_sum 'Ba2 W4 Br2'
_space_group_name_H-M_alt 'C 1 2/m 1'
_space_group_IT_number 12
_cell_length_a 5.755
_cell_length_b 12.730
_cell_length_c 3.235
_cell_angle_alpha 90.00
_cell_angle_beta 123.91
_cell_angle_gamma 90.00
loop_
_space_group_symop_operation_xyz
'x,y,z'
'-x,-y,-z'
'-x,y,-z'
'x,-y,z'
'x+1/2,y+1/2,z'
'-x+1/2,-y+1/2,-z'
'-x+1/2,y+1/2,-z'
'x+1/2,-y+1/2,z'
loop_
_atom_site_label
_atom_site_type_symbol
_atom_site_fract_x
_atom_site_fract_y
_atom_site_fract_z
_atom_site_occupancy
Ba1 Ba 0.000 0.000 0.000 1
W1 W 0.250 0.250 0.500 1
Br1 Br 0.000 0.500 0.000 1